{"formula": "TbEr2Pd3", "functional": "PBE", "state": "optimized geometry", "delta_e_f_ev_per_atom": -0.901, "density_g_cm3": 10.55, "de_polymorph_kj_per_mol_fu": 3, "final_energy_ev_per_atom": -5.79, "total_magnetization_mub_per_cell": 0.00, "lattice": [[-1.479, -3.166, 0.034], [2.991, -1.384, 1.162], [-3.115, 1.562, 9.880]], "species": ["Tb", "Er", "Er", "Pd", "Pd", "Pd"], "frac_coords": [[0.500, 0.500, 0.500], [0.500, 0.500, 0.835], [0.500, 0.500, 0.165], [0.000, 0.000, 0.000], [0.000, 0.000, 0.672], [0.000, 0.000, 0.328]]}